1.
CsLaTl2F6, relaxed, DFT PBE; crystal system = trigonal; E = -5.07 eV per atom
1.0
-5.931 2.892 2.374
0.744 -1.366 -6.834
1.447 -6.779 1.511
Cs La Tl F
1 1 2 6
direct
0.024 0.512 0.522
0.998 0.998 0.982
0.563 0.781 0.330
0.573 0.286 0.845
0.573 0.921 0.709
0.433 0.100 0.166
0.847 0.746 0.165
0.080 0.333 0.166
0.802 0.651 0.709
0.072 0.150 0.709

***

2.
Ti2BeS4, relaxed, DFT PBE; crystal system = monoclinic; distance to the lowest polymorph of the same formula = 0.1115 eV per atom; E = -6.30 eV per atom
1.0
3.361 0.000 0.000
0.000 5.866 -0.034
-1.681 -2.896 5.619
Ti Be S
2 1 4
direct
0.745 0.760 0.491
0.255 0.240 0.509
0.000 0.000 0.000
0.886 0.213 0.772
0.114 0.787 0.228
0.618 0.281 0.237
0.382 0.719 0.763

***

Raw formation energy (computed, eV/atom): -2.9001, -1.1551